(1)
A relaxed structure of KY2Pb3Se6, computed with PBE-GGA.

The energy relative to the elements, uncorrected comes out at -1.107 eV/atom.

abc: 9.599 9.599 9.366
angles: 102.05 102.05 24.87
Fractional positions:
K1 0.000 0.000 0.000
Y1 0.332 0.332 0.664
Y2 0.668 0.668 0.336
Pb1 0.000 0.000 0.500
Pb2 0.341 0.341 0.166
Pb3 0.659 0.659 0.834
Se1 0.171 0.171 0.557
Se2 0.180 0.180 0.126
Se3 0.486 0.486 0.730
Se4 0.514 0.514 0.270
Se5 0.820 0.820 0.874
Se6 0.829 0.829 0.443

***

(2)
A relaxed structure of HoMnTlTe3, computed with PBE-GGA.

The energy relative to the elements, uncorrected comes out at -0.719 eV/atom.

abc: 9.552 4.431 10.261
angles: 90.00 107.22 90.00
Fractional positions:
Ho1 0.170 0.250 0.142
Ho2 0.830 0.750 0.858
Mn1 0.416 0.750 0.395
Mn2 0.584 0.250 0.605
Tl1 0.295 0.750 0.775
Tl2 0.705 0.250 0.225
Te1 0.043 0.250 0.832
Te2 0.283 0.250 0.467
Te3 0.394 0.750 0.129
Te4 0.606 0.250 0.871
Te5 0.717 0.750 0.533
Te6 0.957 0.750 0.168

***

(3)
A relaxed structure of YMgTiNb2, computed with PBE-GGA.

For the calculated formation energy, the calculation gives 1.256 eV per atom.

abc: 4.941 4.941 4.812
angles: 90.00 90.00 90.00
Fractional positions:
Y1 0.000 0.000 0.000
Mg1 0.500 0.500 0.500
Ti1 0.500 0.500 0.000
Nb1 0.000 0.500 0.500
Nb2 0.500 0.000 0.500

***

(4)
A relaxed structure of Ho7Ga2Co2, computed with PBE-GGA.

For the calculated formation energy, the calculation gives -0.217 eV per atom.

abc: 6.593 6.593 6.777
angles: 90.00 90.00 109.91
Fractional positions:
Ho1 0.000 0.000 0.000
Ho2 0.000 0.500 0.252
Ho3 0.000 0.500 0.748
Ho4 0.500 0.000 0.252
Ho5 0.500 0.000 0.748
Ho6 0.500 0.500 0.245
Ho7 0.500 0.500 0.755
Ga1 0.168 0.168 0.500
Ga2 0.832 0.832 0.500
Co1 0.295 0.705 0.000
Co2 0.705 0.295 0.000